Computed, not measured: BeBiCl3 after structural relaxation at the PBE level of DFT.

Calculated values
The value obtained for the total energy is -3.02 eV per atom. As for the density of states at the Fermi level: 1.84 states/eV/cell. For the energy above the most stable polymorph in this dataset, the calculation gives 0 meV per atom. The raw formation energy comes out at -0.390 eV/atom. As for the crystal system: cubic. For the magnetization, the calculation gives 0.0 μB/f.u.

Cell: 4.6359 4.6359 4.6359 Å, 90.00 90.00 90.00°
With the nearest neighbours (Å) after each atom.
Space group Pm-3m (No. 221)
Inequivalent atoms, fractional coordinates:
Be  0.0000  0.0000  0.0000 (multiplicity 1)  6 Cl 2.32
Bi  0.5000  0.5000  0.5000 (multiplicity 1)  12 Cl 3.28
Cl  0.0000  0.0000  0.5000 (multiplicity 3)  2 Be 2.32

=====

Computed, not measured: Ac2MnSi4Pt3 after structural relaxation at the PBE level of DFT.

Calculated values
The value obtained for the total energy is -6.64 eV per atom. As for the density of states at the Fermi level: 5.90 states/eV/cell. The raw formation energy comes out at -0.924 eV/atom. As for the crystal system: tetragonal. For the magnetization, the calculation gives 3.0 μB/f.u.

Cell: 4.3287 4.3287 10.2729 Å, 90.00 90.00 90.00°
With the nearest neighbours (Å) after each atom.
Space group P-4m2 (No. 115)
Inequivalent atoms, fractional coordinates:
Ac  0.0000  0.5000  0.2469 (multiplicity 2)  8 Si 3.32-3.33, 6 Pt 3.34-3.38, 2 Mn 3.38
Mn  0.0000  0.0000  0.5000 (multiplicity 1)  4 Si 2.53
Si  0.0000  0.0000  0.0000 (multiplicity 1)  4 Pt 2.48
Si  0.0000  0.5000  0.6281 (multiplicity 2)  2 Mn 2.53, 3 Pt 2.53-2.61
Si  0.5000  0.5000  0.0000 (multiplicity 1)  4 Pt 2.48
Pt  0.0000  0.5000  0.8824 (multiplicity 2)  5 Si 2.48-2.61
Pt  0.5000  0.5000  0.5000 (multiplicity 1)  4 Si 2.53

=====

Computed, not measured: BaYAg2Cl8 after structural relaxation at the PBE level of DFT.

Calculated values
The value obtained for the total energy is -3.90 eV per atom. As for the density of states at the Fermi level: 18.36 states/eV/cell. The raw formation energy comes out at -1.499 eV/atom. As for the crystal system: tetragonal. For the magnetization, the calculation gives 0.0 μB/f.u.

Cell: 6.8626 6.8626 14.1512 Å, 90.00 90.00 90.00°
With the nearest neighbours (Å) after each atom.
Space group I-4 (No. 82)
Inequivalent atoms, fractional coordinates:
Ba  0.0000  0.0000  0.0000 (multiplicity 2)  8 Cl 3.08-3.24
Y  0.0000  0.5000  0.7500 (multiplicity 2)  8 Cl 2.76-2.86
Ag  0.0000  0.0000  0.5000 (multiplicity 2)  4 Cl 2.58
Ag  0.0000  0.5000  0.2500 (multiplicity 2)  4 Cl 2.54
Cl  0.1447  0.2946  0.5883 (multiplicity 8)  1 Ag 2.58, 1 Y 2.86
Cl  0.1858  0.7901  0.1841 (multiplicity 8)  1 Ag 2.54, 1 Y 2.76

=====

Computed, not measured: RbBaBeS2 after structural relaxation at the PBE level of DFT.

Calculated values
The value obtained for the total energy is -3.96 eV per atom. As for the density of states at the Fermi level: 4.87 states/eV/cell. For the energy above the most stable polymorph in this dataset, the calculation gives 0 meV per atom. The raw formation energy comes out at -0.990 eV/atom. As for the crystal system: monoclinic. For the magnetization, the calculation gives 0.0 μB/f.u.

Cell: 7.5682 5.2369 9.3036 Å, 90.00 90.49 90.00°
With the nearest neighbours (Å) after each atom.
Space group P2/c (No. 13)
Inequivalent atoms, fractional coordinates:
Rb  0.0000  0.0090  0.2500 (multiplicity 2)  4 S 3.42-3.43
Ba  0.5000  0.4987  0.7500 (multiplicity 2)  4 S 3.16, 4 Be 3.50-3.51
Be  0.5000  0.0000  0.0000 (multiplicity 2)  2 S 1.92
S  0.2960  0.2182  0.9990 (multiplicity 4)  1 Be 1.92

=====

Computed, not measured: TiTc2P2 after structural relaxation at the PBE level of DFT.

Calculated values
The value obtained for the total energy is -8.06 eV per atom. As for the density of states at the Fermi level: 7.43 states/eV/cell. For the energy above the most stable polymorph in this dataset, the calculation gives 320 meV per atom. The energy of formation from the pure elements is -174 meV/atom. As for the crystal system: tetragonal. For the magnetization, the calculation gives 0.0 μB/f.u.

Cell: 4.2634 4.2634 8.7274 Å, 90.00 90.00 90.00°
With the nearest neighbours (Å) after each atom.
Space group I4/mmm (No. 139)
Inequivalent atoms, fractional coordinates:
Ti  0.0000  0.0000  0.0000 (multiplicity 2)  8 P 3.05, 10 Tc 3.21-3.23
Tc  0.0000  0.0000  0.3679 (multiplicity 4)  1 Tc 2.31, 4 P 2.37
P  0.0000  0.5000  0.2500 (multiplicity 4)  4 Tc 2.37

=====

Computed, not measured: CeHgPt after structural relaxation at the PBE level of DFT.

Calculated values
The value obtained for the total energy is -4.73 eV per atom. As for the density of states at the Fermi level: 4.39 states/eV/cell. The energy of formation from the pure elements is -640 meV/atom. As for the crystal system: hexagonal. For the magnetization, the calculation gives 0.3 μB/f.u.

Cell: 4.7828 4.7828 3.4291 Å, 90.00 90.00 120.00°
With the nearest neighbours (Å) after each atom.
Space group P-6m2 (No. 187)
Inequivalent atoms, fractional coordinates:
Ce  0.0000  0.0000  0.0000 (multiplicity 1)  6 Hg 3.25, 6 Pt 3.25, 2 Ce 3.43
Hg  0.6667  0.3333  0.5000 (multiplicity 1)  3 Pt 2.76
Pt  0.3333  0.6667  0.5000 (multiplicity 1)  3 Hg 2.76

=====

Computed, not measured: La2GePt5 after structural relaxation at the PBE level of DFT.

Calculated values
The value obtained for the total energy is -6.53 eV per atom. As for the density of states at the Fermi level: 3.52 states/eV/cell. The energy of formation from the pure elements is -949 meV/atom. As for the crystal system: triclinic. For the magnetization, the calculation gives 0.0 μB/f.u.

Cell: 5.7193 5.9182 6.6959 Å, 90.66 115.26 118.82°
With the nearest neighbours (Å) after each atom.
Space group P1 (No. 1)
Inequivalent atoms, fractional coordinates:
La  0.0000  0.0000  0.0000 (multiplicity 1)  5 Pt 2.96-3.26
La  0.0531  0.5063  0.6001 (multiplicity 1)  8 Pt 2.97-3.22
Ge  0.5312  0.2798  0.7833 (multiplicity 1)  5 Pt 2.46-2.51
Pt  0.0718  0.5415  0.0871 (multiplicity 1)  1 Ge 2.46
Pt  0.4813  0.4954  0.4675 (multiplicity 1)  1 Ge 2.47, 2 Pt 2.75
Pt  0.4853  0.9703  0.4888 (multiplicity 1)  1 Ge 2.51, 3 Pt 2.79-2.81
Pt  0.5567  0.5422  0.0876 (multiplicity 1)  1 Ge 2.46, 1 Pt 2.75
Pt  0.9744  0.9702  0.4898 (multiplicity 1)  1 Ge 2.51, 3 Pt 2.79-2.81

=====

Computed, not measured: CuSi2I after structural relaxation at the PBE level of DFT.

Calculated values
The value obtained for the total energy is -3.11 eV per atom. As for the density of states at the Fermi level: 7.76 states/eV/cell. For the energy above the most stable polymorph in this dataset, the calculation gives 478 meV per atom. The raw formation energy comes out at 1.016 eV/atom. As for the crystal system: cubic. For the magnetization, the calculation gives 0.0 μB/f.u.

Cell: 6.7932 6.7932 6.7932 Å, 90.00 90.00 90.00°
With the nearest neighbours (Å) after each atom.
Space group Fm-3m (No. 225)
Inequivalent atoms, fractional coordinates:
Cu  0.0000  0.0000  0.0000 (multiplicity 4)  8 Si 2.94
Si  0.2500  0.2500  0.2500 (multiplicity 8)  4 Cu 2.94, 4 I 2.94
I  0.0000  0.0000  0.5000 (multiplicity 4)  8 Si 2.94

=====

Computed, not measured: BaLi2In after structural relaxation at the PBE level of DFT.

Calculated values
The value obtained for the total energy is -2.14 eV per atom. As for the density of states at the Fermi level: 3.47 states/eV/cell. The energy of formation from the pure elements is -14 meV/atom. As for the crystal system: tetragonal. For the magnetization, the calculation gives 0.5 μB/f.u.

Cell: 5.2958 5.2958 4.3118 Å, 90.00 90.00 90.00°
With the nearest neighbours (Å) after each atom.
Space group P4/mmm (No. 123)
Inequivalent atoms, fractional coordinates:
Ba  0.0000  0.0000  0.0000 (multiplicity 1)  8 Li 3.41, 4 In 3.74
Li  0.0000  0.5000  0.5000 (multiplicity 2)  4 Ba 3.41, 4 In 3.41, 4 Li 3.74
In  0.5000  0.5000  0.0000 (multiplicity 1)  8 Li 3.41, 4 Ba 3.74

=====

Computed, not measured: ErHf2Np after structural relaxation at the PBE level of DFT.

Calculated values
The value obtained for the total energy is -9.01 eV per atom. As for the density of states at the Fermi level: 8.02 states/eV/cell. For the energy above the most stable polymorph in this dataset, the calculation gives 35 meV per atom. The energy of formation from the pure elements is 346 meV/atom. As for the crystal system: tetragonal. For the magnetization, the calculation gives 3.8 μB/f.u.

Cell: 3.7253 3.7253 7.0614 Å, 90.00 90.00 90.00°
With the nearest neighbours (Å) after each atom.
Space group P4/mmm (No. 123)
Inequivalent atoms, fractional coordinates:
Er  0.0000  0.0000  0.0000 (multiplicity 1)  8 Hf 3.33, 2 Np 3.53, 4 Er 3.73
Hf  0.5000  0.5000  0.2877 (multiplicity 2)  1 Hf 3.00, 4 Np 3.03, 4 Er 3.33
Np  0.0000  0.0000  0.5000 (multiplicity 1)  8 Hf 3.03